NaRhSe2N PBE relaxed; total DFT energy (no corrections) = -4.71 eV per atom; energy relative to the elements, uncorrected = 0.0869 eV/atom; distance to the lowest polymorph of the same formula = 0 meV per atom
1.0
5.3102 0.0000 0.0000
0.0000 5.3102 0.0000
0.0000 0.0000 3.6231
Na Rh Se N
1 1 2 1
Direct
0.0000 0.0000 0.0000 Na
0.5000 0.5000 0.5000 Rh
0.0000 0.5000 0.5000 Se
0.5000 0.0000 0.5000 Se
0.5000 0.5000 0.0000 N

Er3ThAs4 PBE relaxed; total DFT energy (no corrections) = -6.46 eV per atom; E_form = -1.497 eV per atom
1.0
4.1243 -5.8338 0.0000
4.1243 5.8338 0.0000
0.0000 0.0000 4.1366
Er Th As
3 1 4
Direct
0.0000 0.0000 0.0000 Er
0.0000 0.5000 0.5000 Er
0.5000 0.0000 0.5000 Er
0.5000 0.5000 0.0000 Th
0.2428 0.2428 0.5000 As
0.2469 0.7531 0.0000 As
0.7531 0.2469 0.0000 As
0.7572 0.7572 0.5000 As

Pu3Hg3Pd2 PBE relaxed; total DFT energy (no corrections) = -7.03 eV per atom; E_form = -0.243 eV per atom
1.0
8.1771 -2.4040 0.0000
8.1771 2.4040 0.0000
-1.3838 0.0000 4.6245
Pu Hg Pd
3 3 2
Direct
0.0000 0.0000 0.0000 Pu
0.1397 0.1397 0.6232 Pu
0.8603 0.8603 0.3768 Pu
0.3583 0.3583 0.8538 Hg
0.5000 0.5000 0.5000 Hg
0.6417 0.6417 0.1462 Hg
0.2407 0.2407 0.2145 Pd
0.7593 0.7593 0.7855 Pd

Ti2VPd2 PBE relaxed; total DFT energy (no corrections) = -7.24 eV per atom; distance to the lowest polymorph of the same formula = 123 meV per atom; E_form = -0.182 eV per atom
1.0
7.3288 0.0000 0.0000
0.0000 7.3288 0.0000
0.0000 0.0000 2.9992
Ti V Pd
4 2 4
Direct
0.1627 0.3373 0.0000 Ti
0.3373 0.8373 0.0000 Ti
0.6627 0.1627 0.0000 Ti
0.8373 0.6627 0.0000 Ti
0.0000 0.0000 0.0000 V
0.5000 0.5000 0.0000 V
0.1385 0.6385 0.5000 Pd
0.3615 0.1385 0.5000 Pd
0.6385 0.8615 0.5000 Pd
0.8615 0.3615 0.5000 Pd

Li5SnS5 PBE relaxed; total DFT energy (no corrections) = -3.99 eV per atom; energy relative to the elements, uncorrected = -0.8827 eV/atom
1.0
6.0078 -2.5803 0.0000
6.0078 2.5803 0.0000
-2.2055 0.0000 6.8284
Li Sn S
5 1 5
Direct
0.0000 0.0000 0.0000 Li
0.3136 0.3136 0.6342 Li
0.3179 0.3179 0.1860 Li
0.6821 0.6821 0.8140 Li
0.6864 0.6864 0.3658 Li
0.0000 0.0000 0.5000 Sn
0.1491 0.1491 0.3180 S
0.1612 0.1612 0.8281 S
0.5000 0.5000 0.5000 S
0.8388 0.8388 0.1719 S
0.8509 0.8509 0.6820 S

PrIn9Ir2 PBE relaxed; total DFT energy (no corrections) = -3.99 eV per atom; E_form = -0.063 eV per atom
1.0
-6.1682 6.1682 3.6662
6.1682 -6.1682 3.6662
6.1682 6.1682 -3.6662
Pr In Ir
2 18 4
Direct
0.3750 0.6250 0.7500 Pr
0.6250 0.3750 0.2500 Pr
0.1061 0.5522 0.3146 In
0.1061 0.7915 0.5539 In
0.1250 0.8750 0.2500 In
0.2085 0.2624 0.3146 In
0.2085 0.8939 0.9461 In
0.2624 0.2085 0.8146 In
0.2624 0.4478 0.0539 In
0.4478 0.2624 0.5539 In
0.4478 0.8939 0.1854 In
0.5522 0.1061 0.8146 In
0.5522 0.7376 0.4461 In
0.7376 0.5522 0.9461 In
0.7376 0.7915 0.1854 In
0.7915 0.1061 0.0539 In
0.7915 0.7376 0.6854 In
0.8750 0.1250 0.7500 In
0.8939 0.2085 0.4461 In
0.8939 0.4478 0.6854 In
0.0000 0.0000 0.0000 Ir
0.0000 0.0000 0.5000 Ir
0.0000 0.5000 0.0000 Ir
0.5000 0.0000 0.5000 Ir

BaSrCl4 PBE relaxed; total DFT energy (no corrections) = -3.05 eV per atom; energy relative to the elements, uncorrected = -1.2227 eV/atom
1.0
0.0000 4.4024 4.4024
4.4024 0.0000 4.4024
4.4024 4.4024 0.0000
Ba Sr Cl
1 1 4
Direct
0.0000 0.0000 0.0000 Ba
0.2500 0.2500 0.2500 Sr
0.1256 0.6248 0.6248 Cl
0.6248 0.1256 0.6248 Cl
0.6248 0.6248 0.1256 Cl
0.6248 0.6248 0.6248 Cl

GaCu2BiSe4 PBE relaxed; total DFT energy (no corrections) = -3.95 eV per atom; energy relative to the elements, uncorrected = -0.3213 eV/atom
1.0
-2.9852 2.9852 5.6983
2.9852 -2.9852 5.6983
2.9852 2.9852 -5.6983
Ga Cu Bi Se
1 2 1 4
Direct
0.0000 0.0000 0.0000 Ga
0.2500 0.7500 0.5000 Cu
0.7500 0.2500 0.5000 Cu
0.5000 0.5000 0.0000 Bi
0.0789 0.6369 0.0000 Se
0.3631 0.3631 0.4420 Se
0.6369 0.0789 0.0000 Se
0.9211 0.9211 0.5580 Se

HfUTcOs PBE relaxed; total DFT energy (no corrections) = -10.93 eV per atom; E_form = -0.223 eV per atom
1.0
0.0000 3.3300 3.3300
3.3300 0.0000 3.3300
3.3300 3.3300 0.0000
Hf U Tc Os
1 1 1 1
Direct
0.0000 0.0000 0.0000 Hf
0.5000 0.5000 0.5000 U
0.2500 0.2500 0.2500 Tc
0.7500 0.7500 0.7500 Os

LiSb2Pt PBE relaxed; total DFT energy (no corrections) = -4.34 eV per atom; energy relative to the elements, uncorrected = -0.2941 eV/atom; distance to the lowest polymorph of the same formula = 245 meV per atom
1.0
3.1524 -3.2234 0.0000
3.1524 3.2234 0.0000
0.0000 0.0000 3.9309
Li Sb Pt
1 2 1
Direct
0.0000 0.0000 0.0000 Li
0.0000 0.5000 0.5000 Sb
0.5000 0.0000 0.5000 Sb
0.5000 0.5000 0.0000 Pt

SmEu2Dy PBE relaxed; total DFT energy (no corrections) = -7.37 eV per atom; distance to the lowest polymorph of the same formula = 0 meV per atom; E_form = 0.096 eV per atom
1.0
1.8420 1.0635 12.2100
-1.8420 1.0635 12.2100
0.0000 -2.1270 12.2100
Sm Eu Dy
1 2 1
Direct
0.0000 0.0000 0.0000 Sm
0.2492 0.2492 0.2492 Eu
0.7508 0.7508 0.7508 Eu
0.5000 0.5000 0.5000 Dy

K4TbDy3Se8 PBE relaxed; total DFT energy (no corrections) = -4.93 eV per atom; energy relative to the elements, uncorrected = -1.7653 eV/atom
1.0
4.2174 2.4349 7.6824
-4.2174 2.4349 7.6824
0.0000 -4.8698 7.6824
K Tb Dy Se
4 1 3 8
Direct
0.0000 0.0000 0.0000 K
0.0000 0.5000 0.5000 K
0.5000 0.0000 0.5000 K
0.5000 0.5000 0.0000 K
0.5000 0.5000 0.5000 Tb
0.0000 0.0000 0.5000 Dy
0.0000 0.5000 0.0000 Dy
0.5000 0.0000 0.0000 Dy
0.2342 0.7356 0.7356 Se
0.2350 0.2350 0.2350 Se
0.2644 0.2644 0.7658 Se
0.2644 0.7658 0.2644 Se
0.7356 0.2342 0.7356 Se
0.7356 0.7356 0.2342 Se
0.7650 0.7650 0.7650 Se
0.7658 0.2644 0.2644 Se

LiCe2Nd PBE relaxed; total DFT energy (no corrections) = -4.37 eV per atom; distance to the lowest polymorph of the same formula = 50 meV per atom; E_form = 0.270 eV per atom
1.0
1.6582 0.9574 12.4680
-1.6582 0.9574 12.4680
0.0000 -1.9147 12.4680
Li Ce Nd
1 2 1
Direct
0.0000 0.0000 0.0000 Li
0.0860 0.0860 0.0860 Ce
0.9140 0.9140 0.9140 Ce
0.5000 0.5000 0.5000 Nd

Number 1: ρ 4.8 Mg/m³. Number 2: ρ 8.6 Mg/m³. Number 3: ρ 14.1 Mg/m³. Number 4: ρ 7.4 Mg/m³. Number 5: ρ 2.5 Mg/m³. Number 6: ρ 9.3 Mg/m³. Number 7: ρ 3.6 Mg/m³. Number 8: ρ 5.9 Mg/m³. Number 9: ρ 15.8 Mg/m³. Number 10: ρ 9.3 Mg/m³. Number 11: ρ 7.1 Mg/m³. Number 12: ρ 5.0 Mg/m³. Number 13: ρ 6.0 Mg/m³.